# 1
A relaxed structure of TbPmPd, computed with PBE.

Lattice parameters (Å, degrees): 6.7059 6.7059 6.7059 148.85 148.85 44.63
With the nearest neighbours (Å) after each atom.
Sites, in units of the cell vectors:
Tb1 0.0000 0.0000 0.0000  4 Pd 2.99
Pm1 0.2752 0.2752 0.0000  4 Pd 3.14, 1 Tb 3.41
Pd1 0.6264 0.6264 0.0000  4 Tb 2.99, 4 Pm 3.14

**Energy above the most stable polymorph in this dataset**: 69 meV per atom
**Calculated volume**: 26.82 Å³ per atom
**Final energy**: -16.08 eV per cell

***

# 2
A relaxed structure of TbPmPd, computed with PBE.

Lattice parameters (Å, degrees): 6.6807 6.6807 7.2365 105.82 105.82 31.29
With the nearest neighbours (Å) after each atom.
Sites, in units of the cell vectors:
Tb1 0.1380 0.1380 0.0693  4 Pd 2.98-3.00
Tb2 0.8620 0.8620 0.9307  4 Pd 2.98-3.00
Pm1 0.1371 0.1371 0.5677  4 Pd 3.13-3.16, 1 Pm 3.38
Pm2 0.8629 0.8629 0.4323  4 Pd 3.13-3.16, 1 Pm 3.38
Pd1 0.4985 0.4985 0.7687  4 Tb 2.98-3.00, 4 Pm 3.13-3.16
Pd2 0.5015 0.5015 0.2313  4 Tb 2.98-3.00, 4 Pm 3.13-3.16

**Energy above the most stable polymorph in this dataset**: 71 meV per atom
**Calculated volume**: 26.81 Å³ per atom
**Final energy**: -32.16 eV per cell

***

| no. | E_form (meV/atom) |
| --- | --- |
| 1 | -503 |
| 2 | -502 |